A geometry-optimized Cs3NaIn2Br9 structure, computed with PBE.

Cell: 8.033 8.033 9.905 Å, 90.00 90.00 120.00°
Positions (direct):
Cs (0.333, 0.667, 0.662)
Cs (0.000, 0.000, 0.000)
Cs (0.667, 0.333, 0.338)
Na (0.000, 0.000, 0.500)
In (0.333, 0.667, 0.170)
In (0.667, 0.333, 0.830)
Br (0.830, 0.170, 0.676)
Br (0.830, 0.660, 0.676)
Br (0.340, 0.170, 0.676)
Br (0.660, 0.830, 0.324)
Br (0.170, 0.340, 0.324)
Br (0.170, 0.830, 0.324)
Br (0.500, 0.000, 0.000)
Br (0.000, 0.500, 0.000)
Br (0.500, 0.500, 0.000)

Summary:
As for the energy: -2.945 eV/atom. For the density of states at the Fermi level, the calculation gives 2.253 states/eV per cell. As for the spin magnetization: 0.0 μB/f.u. As for the uncorrected formation energy: -1.318 eV/atom.